The following is a DFT calculation (PBE) of crystalline Sr2TlGa at its relaxed geometry.

Calculated values
crystal system: trigonal
Fermi-level density of states: 1.1268 states/eV/atom
energy above the most stable polymorph in this dataset: 367 meV/atom
electronic total energy: -2.21 eV/atom

a = 4.038 Å, b = 4.038 Å, c = 11.549 Å
α = 79.93°, β = 79.93°, γ = 60.00°
Sites, in units of the cell vectors:
Sr 0.101 0.101 0.697
Sr 0.899 0.899 0.303
Tl 0.000 0.000 0.000
Ga 0.500 0.500 0.500

***

The following is a DFT calculation (PBE) of crystalline SrTl2Ga at its relaxed geometry.

Calculated values
crystal system: orthorhombic
Fermi-level density of states: 0.5676 states/eV/atom
energy above the most stable polymorph in this dataset: 0 meV/atom
electronic total energy: -2.61 eV/atom

a = 6.396 Å, b = 8.531 Å, c = 8.605 Å
α = 90.00°, β = 90.00°, γ = 90.00°
Sites, in units of the cell vectors:
Sr 0.382 0.250 0.031
Sr 0.882 0.750 0.469
Sr 0.618 0.750 0.969
Sr 0.118 0.250 0.531
Tl 0.884 0.049 0.190
Tl 0.384 0.951 0.310
Tl 0.116 0.549 0.810
Tl 0.616 0.451 0.690
Tl 0.116 0.951 0.810
Tl 0.616 0.049 0.690
Tl 0.884 0.451 0.190
Tl 0.384 0.549 0.310
Ga 0.616 0.250 0.407
Ga 0.116 0.750 0.093
Ga 0.384 0.750 0.593
Ga 0.884 0.250 0.907

***

The following is a DFT calculation (PBE) of crystalline SrTlGa at its relaxed geometry.

Calculated values
crystal system: tetragonal
Fermi-level density of states: 0.5984 states/eV/atom
electronic total energy: -2.61 eV/atom

a = 3.852 Å, b = 3.852 Å, c = 6.506 Å
α = 107.22°, β = 107.22°, γ = 90.00°
Sites, in units of the cell vectors:
Sr 0.622 0.622 0.244
Tl 0.927 0.927 0.855
Ga 0.300 0.300 0.601

***

The following is a DFT calculation (PBE) of crystalline SrTl2Ga2 at its relaxed geometry.

Calculated values
crystal system: tetragonal
Fermi-level density of states: 0.6476 states/eV/atom
energy above the most stable polymorph in this dataset: 165 meV/atom
electronic total energy: -2.56 eV/atom

a = 8.599 Å, b = 8.599 Å, c = 3.781 Å
α = 90.00°, β = 90.00°, γ = 90.00°
Sites, in units of the cell vectors:
Sr 0.000 0.000 0.000
Sr 0.500 0.500 0.000
Tl 0.369 0.869 0.000
Tl 0.869 0.631 0.000
Tl 0.631 0.131 0.000
Tl 0.131 0.369 0.000
Ga 0.167 0.667 0.500
Ga 0.667 0.833 0.500
Ga 0.833 0.333 0.500
Ga 0.333 0.167 0.500

***

The following is a DFT calculation (PBE) of crystalline Sr3TlGa2 at its relaxed geometry.

Calculated values
crystal system: tetragonal
Fermi-level density of states: 0.6536 states/eV/atom
electronic total energy: -2.62 eV/atom

a = 3.966 Å, b = 3.966 Å, c = 11.944 Å
α = 90.00°, β = 90.00°, γ = 90.00°
Sites, in units of the cell vectors:
Sr 0.000 0.000 0.000
Sr 0.000 0.000 0.681
Sr 0.000 0.000 0.319
Tl 0.500 0.500 0.500
Ga 0.500 0.500 0.841
Ga 0.500 0.500 0.159

***

The following is a DFT calculation (PBE) of crystalline Sr2Tl3Ga2 at its relaxed geometry.

Calculated values
crystal system: monoclinic
Fermi-level density of states: 0.5275 states/eV/atom
electronic total energy: -2.66 eV/atom

a = 4.802 Å, b = 6.350 Å, c = 7.263 Å
α = 96.33°, β = 90.00°, γ = 112.21°
Sites, in units of the cell vectors:
Sr 0.626 0.252 0.324
Sr 0.374 0.748 0.676
Tl 0.311 0.622 0.160
Tl 0.000 0.000 0.000
Tl 0.689 0.378 0.840
Ga 0.084 0.169 0.633
Ga 0.916 0.831 0.367

***

The following is a DFT calculation (PBE) of crystalline Sr2Tl3Ga at its relaxed geometry.

Calculated values
crystal system: monoclinic
Fermi-level density of states: 0.5400 states/eV/atom
electronic total energy: -2.59 eV/atom

a = 5.053 Å, b = 6.515 Å, c = 6.600 Å
α = 76.52°, β = 67.49°, γ = 67.18°
Sites, in units of the cell vectors:
Sr 0.546 0.208 0.700
Sr 0.452 0.798 0.298
Tl 0.848 0.634 0.669
Tl 0.827 0.247 0.098
Tl 0.161 0.750 0.928
Ga 0.165 0.363 0.306

***

The following is a DFT calculation (PBE) of crystalline SrTl2Ga at its relaxed geometry.

Calculated values
crystal system: tetragonal
Fermi-level density of states: 0.8109 states/eV/atom
energy above the most stable polymorph in this dataset: 180 meV/atom
electronic total energy: -2.43 eV/atom

a = 4.772 Å, b = 4.772 Å, c = 11.721 Å
α = 78.25°, β = 78.25°, γ = 90.00°
Sites, in units of the cell vectors:
Sr 0.000 0.000 0.000
Sr 0.750 0.250 0.500
Tl 0.592 0.125 0.250
Tl 0.158 0.625 0.250
Tl 0.375 0.408 0.750
Tl 0.875 0.842 0.750
Ga 0.500 0.500 0.000
Ga 0.250 0.750 0.500

***

The following is a DFT calculation (PBE) of crystalline SrTlGa3 at its relaxed geometry.

Calculated values
crystal system: cubic
Fermi-level density of states: 0.7544 states/eV/atom
energy above the most stable polymorph in this dataset: 0 meV/atom
electronic total energy: -2.39 eV/atom

a = 5.447 Å, b = 5.447 Å, c = 5.447 Å
α = 90.00°, β = 90.00°, γ = 90.00°
Sites, in units of the cell vectors:
Sr 0.500 0.500 0.500
Tl 0.000 0.000 0.000
Ga 0.000 0.500 0.000
Ga 0.000 0.000 0.500
Ga 0.500 0.000 0.000

***

The following is a DFT calculation (PBE) of crystalline Sr4TlGa2 at its relaxed geometry.

Calculated values
crystal system: trigonal
Fermi-level density of states: 1.2029 states/eV/atom
electronic total energy: -2.46 eV/atom

a = 5.608 Å, b = 5.608 Å, c = 9.678 Å
α = 73.16°, β = 73.16°, γ = 60.00°
Sites, in units of the cell vectors:
Sr 0.874 0.874 0.379
Sr 0.126 0.126 0.621
Sr 0.622 0.622 0.133
Sr 0.378 0.378 0.867
Tl 0.000 0.000 0.000
Ga 0.748 0.748 0.755
Ga 0.252 0.252 0.245

***

The following is a DFT calculation (PBE) of crystalline SrTl2Ga2 at its relaxed geometry.

Calculated values
crystal system: tetragonal
Fermi-level density of states: 0.5147 states/eV/atom
energy above the most stable polymorph in this dataset: 95 meV/atom
electronic total energy: -2.63 eV/atom

a = 8.335 Å, b = 8.335 Å, c = 3.940 Å
α = 90.00°, β = 90.00°, γ = 90.00°
Sites, in units of the cell vectors:
Sr 0.000 0.000 0.000
Sr 0.500 0.500 0.000
Tl 0.177 0.677 0.500
Tl 0.677 0.823 0.500
Tl 0.823 0.323 0.500
Tl 0.323 0.177 0.500
Ga 0.384 0.884 0.000
Ga 0.884 0.616 0.000
Ga 0.616 0.116 0.000
Ga 0.116 0.384 0.000

***

The following is a DFT calculation (PBE) of crystalline SrTl2Ga2 at its relaxed geometry.

Calculated values
crystal system: tetragonal
Fermi-level density of states: 0.4336 states/eV/atom
energy above the most stable polymorph in this dataset: 74 meV/atom
electronic total energy: -2.65 eV/atom

a = 4.888 Å, b = 4.888 Å, c = 6.843 Å
α = 69.08°, β = 69.08°, γ = 90.00°
Sites, in units of the cell vectors:
Sr 0.000 0.000 0.000
Tl 0.375 0.375 0.250
Tl 0.625 0.625 0.750
Ga 0.750 0.250 0.500
Ga 0.250 0.750 0.500